[1]
# KRe4As PBE-GGA optimized geometry
# Fermi-level density of states	6.401	states/eV/f.u.
# ρ	13.0	g/cm³
# formation enthalpy at 0 K	1129	meV/atom
data_KRe4As
_chemical_formula_sum 'K4 Re16 As4'
_space_group_name_H-M_alt 'F -4 3 m'
_space_group_IT_number 216
_space_group_name_Hall 'F -4 2 3'
_cell_length_a 7.595
_cell_length_b 7.595
_cell_length_c 7.595
_cell_angle_alpha 90.00
_cell_angle_beta 90.00
_cell_angle_gamma 90.00
loop_
_atom_site_label
_atom_site_fract_x
_atom_site_fract_y
_atom_site_fract_z
K1 0.000 0.000 0.000
Re1 0.124 0.124 0.624
As1 0.250 0.250 0.250



[2]
# KReAs2Se PBE-GGA optimized geometry
# raw formation energy	2607	meV/atom
# Fermi-level density of states	13.110	states/eV/f.u.
# ρ	5.7	g/cm³
data_KReAs2Se
_chemical_formula_sum 'K1 Re1 As2 Se1'
_space_group_name_H-M_alt 'P 4/m m m'
_space_group_IT_number 123
_space_group_name_Hall '-P 4 2'
_cell_length_a 5.065
_cell_length_b 5.065
_cell_length_c 5.192
_cell_angle_alpha 90.00
_cell_angle_beta 90.00
_cell_angle_gamma 90.00
loop_
_atom_site_label
_atom_site_fract_x
_atom_site_fract_y
_atom_site_fract_z
K1 0.000 0.000 0.000
Re1 0.500 0.500 0.500
As1 0.000 0.500 0.000
Se1 0.000 0.000 0.500



Copy entry 1 word for word.
# KRe4As PBE-GGA optimized geometry
# Fermi-level density of states	6.401	states/eV/f.u.
# ρ	13.0	g/cm³
# formation enthalpy at 0 K	1129	meV/atom
data_KRe4As
_chemical_formula_sum 'K4 Re16 As4'
_space_group_name_H-M_alt 'F -4 3 m'
_space_group_IT_number 216
_space_group_name_Hall 'F -4 2 3'
_cell_length_a 7.595
_cell_length_b 7.595
_cell_length_c 7.595
_cell_angle_alpha 90.00
_cell_angle_beta 90.00
_cell_angle_gamma 90.00
loop_
_atom_site_label
_atom_site_fract_x
_atom_site_fract_y
_atom_site_fract_z
K1 0.000 0.000 0.000
Re1 0.124 0.124 0.624
As1 0.250 0.250 0.250